<A>
DFT (PBE) results for a geometry-optimized Sm2AlGa2 structure.

Calculated values
**DOS(E_F)**: 4.23 states/eV/f.u.
**Size of the total moment**: 0.0 μB/f.u.
**SG**: No. 12

abc: 5.9666 5.9666 10.6095
angles: 115.49 115.49 43.69
Last column: nearest neighbours and their distance in Å.
Element x y z (fractional)
Sm 0.0001 0.0001 0.1757  6 Ga 3.08-3.25, 3 Al 3.21-3.24
Sm 0.9999 0.9999 0.8243  6 Ga 3.08-3.25, 3 Al 3.21-3.24
Sm 0.1836 0.1836 0.5986  6 Ga 3.08-3.24, 2 Al 3.32
Sm 0.8164 0.8164 0.4014  6 Ga 3.08-3.24, 2 Al 3.32
Al 0.2827 0.2827 0.1545  4 Ga 2.63-2.80
Al 0.7173 0.7173 0.8455  4 Ga 2.63-2.80
Ga 0.3587 0.3587 0.9370  3 Al 2.63-2.80, 1 Ga 2.78
Ga 0.4778 0.4778 0.6137  1 Al 2.65, 1 Ga 2.68
Ga 0.5222 0.5222 0.3863  1 Al 2.65, 1 Ga 2.68
Ga 0.6413 0.6413 0.0630  3 Al 2.63-2.80, 1 Ga 2.78

<B>
DFT (PBE) results for a geometry-optimized Sm2AlGa2 structure.

Calculated values
**DOS(E_F)**: 3.88 states/eV/f.u.
**Size of the total moment**: 0.0 μB/f.u.
**SG**: No. 71

abc: 5.9013 5.9013 5.9013
angles: 138.47 119.46 76.09
Last column: nearest neighbours and their distance in Å.
Element x y z (fractional)
Sm 0.2109 0.2109 0.0000  6 Ga 3.14-3.17, 2 Al 3.41
Sm 0.7891 0.7891 0.0000  6 Ga 3.14-3.17, 2 Al 3.41
Al 0.5000 0.0000 0.5000  4 Ga 2.65
Ga 0.2256 0.5000 0.7256  2 Al 2.65, 1 Ga 2.69
Ga 0.7744 0.5000 0.2744  2 Al 2.65, 1 Ga 2.69

Going by the computed energies, the most stable comes first: <A>, <B>.

<A>
DFT (PBE) results for a geometry-optimized Sm4AlGa structure.

Calculated values
**DOS(E_F)**: 9.21 states/eV/f.u.
**Size of the total moment**: 0.0 μB/f.u.
**SG**: No. 123

abc: 5.0781 5.0781 7.2611
angles: 90.00 90.00 90.00
Last column: nearest neighbours and their distance in Å.
Element x y z (fractional)
Sm 0.0000 0.5000 0.2469  2 Ga 3.11, 2 Al 3.13
Sm 0.0000 0.5000 0.7531  2 Ga 3.11, 2 Al 3.13
Sm 0.5000 0.0000 0.2469  2 Ga 3.11, 2 Al 3.13
Sm 0.5000 0.0000 0.7531  2 Ga 3.11, 2 Al 3.13
Al 0.0000 0.0000 0.5000  8 Sm 3.13
Ga 0.5000 0.5000 0.0000  8 Sm 3.11

<B>
DFT (PBE) results for a geometry-optimized Sm4AlGa structure.

Calculated values
**DOS(E_F)**: 6.58 states/eV/f.u.
**Size of the total moment**: 0.0 μB/f.u.
**SG**: No. 10

abc: 5.7185 3.8079 8.2369
angles: 90.00 90.08 90.00
Last column: nearest neighbours and their distance in Å.
Element x y z (fractional)
Sm 0.0008 0.0000 0.2156  2 Ga 3.02, 2 Al 3.36-3.37
Sm 0.4991 0.5000 0.7100  2 Al 3.05, 2 Ga 3.34-3.35
Sm 0.5009 0.5000 0.2900  2 Al 3.05, 2 Ga 3.34-3.35
Sm 0.9992 0.0000 0.7844  2 Ga 3.02, 2 Al 3.36-3.37
Al 0.5000 0.0000 0.0000  8 Sm 3.05-3.37
Ga 0.0000 0.5000 0.5000  8 Sm 3.02-3.35

Going by the computed energies, the most stable comes first: <A>, <B>.

<A>
DFT (PBE) results for a geometry-optimized Sm8Al2Ga structure.

Calculated values
**DOS(E_F)**: 11.66 states/eV/f.u.
**Size of the total moment**: 0.0 μB/f.u.
**SG**: No. 12

abc: 9.6979 9.6979 6.8927
angles: 104.15 104.15 30.90
Last column: nearest neighbours and their distance in Å.
Element x y z (fractional)
Sm 0.0177 0.0177 0.2693  2 Ga 3.10, 1 Al 3.17, 3 Sm 3.41-3.45
Sm 0.2067 0.2067 0.8017  3 Al 3.13-3.35, 3 Sm 3.42-3.51
Sm 0.3423 0.3423 0.5316  1 Ga 3.01, 3 Al 3.14
Sm 0.4060 0.4060 0.0365  1 Ga 3.23, 2 Al 3.38, 3 Sm 3.38-3.45
Sm 0.5940 0.5940 0.9635  1 Ga 3.23, 2 Al 3.38, 3 Sm 3.38-3.45
Sm 0.6577 0.6577 0.4684  1 Ga 3.01, 3 Al 3.14
Sm 0.7933 0.7933 0.1983  3 Al 3.13-3.35, 3 Sm 3.42-3.51
Sm 0.9823 0.9823 0.7307  2 Ga 3.10, 1 Al 3.17, 3 Sm 3.41-3.45
Al 0.1838 0.1838 0.2361  9 Sm 3.13-3.38
Al 0.8162 0.8162 0.7639  9 Sm 3.13-3.38
Ga 0.5000 0.5000 0.5000  8 Sm 3.01-3.23

<B>
DFT (PBE) results for a geometry-optimized Sm8Al2Ga structure.

Calculated values
**DOS(E_F)**: 12.36 states/eV/f.u.
**Size of the total moment**: 0.0 μB/f.u.
**SG**: No. 71

abc: 8.8517 8.8517 8.8517
angles: 146.67 122.66 67.96
Last column: nearest neighbours and their distance in Å.
Element x y z (fractional)
Sm 0.1197 0.3416 0.7781  3 Al 3.20-3.21, 1 Ga 3.31, 5 Sm 3.46-3.53
Sm 0.1383 0.1383 0.0000  2 Ga 3.25, 8 Sm 3.37-3.53, 2 Al 3.54
Sm 0.3170 0.0000 0.3170  7 Sm 3.11-3.46, 2 Al 3.24
Sm 0.4365 0.6584 0.7781  3 Al 3.20-3.21, 1 Ga 3.31, 5 Sm 3.46-3.53
Sm 0.5635 0.3416 0.2219  3 Al 3.20-3.21, 1 Ga 3.31, 5 Sm 3.46-3.53
Sm 0.6830 0.0000 0.6830  7 Sm 3.11-3.46, 2 Al 3.24
Sm 0.8617 0.8617 0.0000  2 Ga 3.25, 8 Sm 3.37-3.53, 2 Al 3.54
Sm 0.8803 0.6584 0.2219  3 Al 3.20-3.21, 1 Ga 3.31, 5 Sm 3.46-3.53
Al 0.3066 0.8066 0.5000  10 Sm 3.20-3.54
Al 0.6934 0.1934 0.5000  10 Sm 3.20-3.54
Ga 0.0000 0.5000 0.5000  8 Sm 3.25-3.31

Going by the computed energies, the most stable comes first: <A>, <B>.

<A>
DFT (PBE) results for a geometry-optimized SmAlGa4 structure.

Calculated values
**DOS(E_F)**: 2.31 states/eV/f.u.
**Size of the total moment**: 0.0 μB/f.u.
**SG**: No. 71

abc: 5.8673 5.8673 5.8673
angles: 138.95 112.19 82.43
Last column: nearest neighbours and their distance in Å.
Element x y z (fractional)
Sm 0.0000 0.0000 0.0000  12 Ga 3.15-3.29, 2 Al 3.27
Al 0.5000 0.0000 0.5000  8 Ga 2.85
Ga 0.1310 0.3391 0.7919  4 Ga 2.65-2.84, 2 Al 2.85
Ga 0.4528 0.6609 0.7919  4 Ga 2.65-2.84, 2 Al 2.85
Ga 0.5472 0.3391 0.2081  4 Ga 2.65-2.84, 2 Al 2.85
Ga 0.8690 0.6609 0.2081  4 Ga 2.65-2.84, 2 Al 2.85

<B>
DFT (PBE) results for a geometry-optimized SmAlGa4 structure.

Calculated values
**DOS(E_F)**: 2.43 states/eV/f.u.
**Size of the total moment**: 0.0 μB/f.u.
**SG**: No. 12

abc: 5.3778 5.3778 4.9643
angles: 100.82 100.82 113.41
Last column: nearest neighbours and their distance in Å.
Element x y z (fractional)
Sm 0.0000 0.0000 0.0000  10 Ga 3.08-3.25, 2 Al 3.14
Al 0.5000 0.5000 0.5000  6 Ga 2.67-2.83
Ga 0.2028 0.7972 0.5000  1 Al 2.67, 2 Ga 2.81
Ga 0.3481 0.6519 0.0000  3 Ga 2.73-2.81, 2 Al 2.83
Ga 0.6519 0.3481 0.0000  3 Ga 2.73-2.81, 2 Al 2.83
Ga 0.7972 0.2028 0.5000  1 Al 2.67, 2 Ga 2.81

<C>
DFT (PBE) results for a geometry-optimized SmAlGa4 structure.

Calculated values
**DOS(E_F)**: 5.19 states/eV/f.u.
**Size of the total moment**: 0.0 μB/f.u.
**SG**: No. 216

abc: 5.5307 5.5307 5.5307
angles: 60.00 60.00 60.00
Last column: nearest neighbours and their distance in Å.
Element x y z (fractional)
Sm 0.0000 0.0000 0.0000  12 Ga 3.24, 4 Al 3.39
Al 0.2500 0.2500 0.2500  12 Ga 3.24, 4 Sm 3.39
Ga 0.1258 0.6247 0.6247  6 Ga 2.76-2.77
Ga 0.6247 0.1258 0.6247  6 Ga 2.76-2.77
Ga 0.6247 0.6247 0.1258  6 Ga 2.76-2.77
Ga 0.6247 0.6247 0.6247  6 Ga 2.76-2.77

Going by the computed energies, the most stable comes first: <A>, <C>, <B>.